1.
Below is a geometry-optimized LiTlCdSn structure, with properties calculated at the PBE level.

Unit cell a=5.1557 b=5.1557 c=5.1557 alpha=60.00 beta=60.00 gamma=60.00
With the nearest neighbours (Å) after each atom.
Sites, in units of the cell vectors:
Tl  0.5000  0.5000  0.5000  4 Cd 3.16, 4 Li 3.16
Li  0.2500  0.2500  0.2500  4 Tl 3.16, 4 Sn 3.16
Sn  0.0000  0.0000  0.0000  4 Li 3.16, 4 Cd 3.16
Cd  0.7500  0.7500  0.7500  4 Sn 3.16, 4 Tl 3.16

2.
Below is a geometry-optimized LiYCdSn structure, with properties calculated at the PBE level.

Unit cell a=5.1129 b=5.1129 c=5.1129 alpha=60.00 beta=60.00 gamma=60.00
With the nearest neighbours (Å) after each atom.
Sites, in units of the cell vectors:
Y  0.7500  0.7500  0.7500  4 Sn 3.13, 4 Cd 3.13
Li  0.2500  0.2500  0.2500  4 Cd 3.13, 4 Sn 3.13
Sn  0.5000  0.5000  0.5000  4 Li 3.13, 4 Y 3.13
Cd  0.0000  0.0000  0.0000  4 Li 3.13, 4 Y 3.13

3.
Below is a geometry-optimized LiYCdSn structure, with properties calculated at the PBE level.

Unit cell a=4.2612 b=4.5526 c=4.8535 alpha=90.00 beta=90.00 gamma=90.00
With the nearest neighbours (Å) after each atom.
Sites, in units of the cell vectors:
Li  0.0000  0.5000  0.5000  4 Cd 3.12, 4 Sn 3.23, 4 Y 3.33
Y  0.0000  0.0000  0.0000  4 Sn 3.12, 4 Cd 3.23, 4 Li 3.33
Cd  0.5000  0.0000  0.5000  4 Li 3.12, 4 Y 3.23, 4 Sn 3.33
Sn  0.5000  0.5000  0.0000  4 Y 3.12, 4 Li 3.23, 4 Cd 3.33

4.
Below is a geometry-optimized LiZn2CdSn structure, with properties calculated at the PBE level.

Unit cell a=4.6752 b=5.0156 c=4.6752 alpha=90.00 beta=90.00 gamma=90.00
With the nearest neighbours (Å) after each atom.
Sites, in units of the cell vectors:
Zn  0.0000  0.0000  0.5000  2 Li 2.34
Zn  0.5000  0.0000  0.0000  2 Li 2.34
Li  0.0000  0.0000  0.0000  4 Zn 2.34, 2 Sn 2.51
Sn  0.0000  0.5000  0.0000  2 Li 2.51
Cd  0.5000  0.5000  0.5000  4 Sn 3.31, 8 Zn 3.43

5.
Below is a geometry-optimized Li5Zn2Cd2Sn structure, with properties calculated at the PBE level.

Unit cell a=3.6326 b=10.0303 c=10.0303 alpha=90.00 beta=90.00 gamma=90.00
With the nearest neighbours (Å) after each atom.
Sites, in units of the cell vectors:
Li  0.5000  0.1998  0.0778  2 Zn 2.58, 2 Sn 2.81
Li  0.5000  0.8002  0.9222  2 Zn 2.58, 2 Sn 2.81
Li  0.5000  0.0778  0.8002  2 Zn 2.58, 2 Sn 2.81
Li  0.5000  0.6998  0.4222  2 Zn 2.58, 2 Sn 2.81
Li  0.5000  0.9222  0.1998  2 Zn 2.58, 2 Sn 2.81
Li  0.5000  0.3002  0.5778  2 Zn 2.58, 2 Sn 2.81
Li  0.5000  0.5778  0.6998  2 Zn 2.58, 2 Sn 2.81
Li  0.5000  0.4222  0.3002  2 Zn 2.58, 2 Sn 2.81
Li  0.5000  0.5000  0.0000  4 Zn 2.52
Li  0.5000  0.0000  0.5000  4 Zn 2.52
Zn  0.0000  0.1230  0.6230  6 Li 2.52-2.58
Zn  0.0000  0.8770  0.3770  6 Li 2.52-2.58
Zn  0.0000  0.6230  0.8770  6 Li 2.52-2.58
Zn  0.0000  0.3770  0.1230  6 Li 2.52-2.58
Cd  0.0000  0.6700  0.1700  3 Zn 2.94-2.98, 6 Li 3.02-3.13
Cd  0.0000  0.3300  0.8300  3 Zn 2.94-2.98, 6 Li 3.02-3.13
Cd  0.0000  0.1700  0.3300  3 Zn 2.94-2.98, 6 Li 3.02-3.13
Cd  0.0000  0.8300  0.6700  3 Zn 2.94-2.98, 6 Li 3.02-3.13
Sn  0.0000  0.0000  0.0000  8 Li 2.81
Sn  0.0000  0.5000  0.5000  8 Li 2.81

6.
Below is a geometry-optimized LiZrCdSn structure, with properties calculated at the PBE level.

Unit cell a=4.1383 b=4.3032 c=4.6366 alpha=90.00 beta=90.00 gamma=90.00
With the nearest neighbours (Å) after each atom.
Sites, in units of the cell vectors:
Li  0.5000  0.5000  0.0000  4 Cd 2.99, 4 Sn 3.11, 4 Zr 3.16
Zr  0.5000  0.0000  0.5000  4 Sn 2.99, 4 Cd 3.11, 4 Li 3.16
Cd  0.0000  0.0000  0.0000  4 Li 2.99, 4 Zr 3.11, 4 Sn 3.16
Sn  0.0000  0.5000  0.5000  4 Zr 2.99, 4 Li 3.11, 4 Cd 3.16

7.
Below is a geometry-optimized SrLi3Cd2 structure, with properties calculated at the PBE level.

Unit cell a=4.8723 b=4.8723 c=14.5769 alpha=90.00 beta=90.00 gamma=120.00
With the nearest neighbours (Å) after each atom.
Sites, in units of the cell vectors:
Sr  0.0000  0.0000  0.2500  6 Cd 3.52, 8 Li 3.64-3.70
Sr  0.0000  0.0000  0.7500  6 Cd 3.52, 8 Li 3.64-3.70
Li  0.0000  0.0000  0.5000  6 Li 3.07, 6 Cd 3.20
Li  0.0000  0.0000  0.0000  6 Li 3.07, 6 Cd 3.20
Li  0.6667  0.3333  0.5847  4 Cd 2.76-2.83, 3 Li 3.07
Li  0.3333  0.6667  0.0847  4 Cd 2.76-2.83, 3 Li 3.07
Li  0.6667  0.3333  0.9153  4 Cd 2.76-2.83, 3 Li 3.07
Li  0.3333  0.6667  0.4153  4 Cd 2.76-2.83, 3 Li 3.07
Cd  0.6667  0.3333  0.3950  4 Li 2.76-2.83
Cd  0.3333  0.6667  0.6050  4 Li 2.76-2.83
Cd  0.3333  0.6667  0.8950  4 Li 2.76-2.83
Cd  0.6667  0.3333  0.1050  4 Li 2.76-2.83

8.
Below is a geometry-optimized Sr4LiCd2 structure, with properties calculated at the PBE level.

Unit cell a=5.7808 b=5.7808 c=9.9128 alpha=73.05 beta=73.05 gamma=60.00
With the nearest neighbours (Å) after each atom.
Sites, in units of the cell vectors:
Sr  0.8731  0.8731  0.3807  4 Cd 3.55-3.59, 1 Li 3.55
Sr  0.1269  0.1269  0.6193  4 Cd 3.55-3.59, 1 Li 3.55
Sr  0.6222  0.6222  0.1334  4 Cd 3.48, 3 Li 3.56
Sr  0.3778  0.3778  0.8666  4 Cd 3.48, 3 Li 3.56
Li  0.0000  0.0000  0.0000  8 Sr 3.55-3.56
Cd  0.7464  0.7464  0.7607  8 Sr 3.48-3.59
Cd  0.2536  0.2536  0.2393  8 Sr 3.48-3.59

Formation enthalpy at 0 K? In order: -105, -451, -465, 295, -148, -325, -195, -151 meV per atom.